Record 1
A PBEsol-optimized structure of Li2YMg. Source: the Alexandria database, functional SCAN.

```
Li2YMg
1.0
3.542 0.000 0.000
0.000 3.542 0.000
0.000 0.000 7.130
Li Y Mg
2 1 1
Cartesian
0.000 0.000 1.553
0.000 0.000 5.577
1.771 1.771 3.565
1.771 1.771 0.000
```

Properties
DFT formation energy: 1.414 kcal/mol of atoms
Space group: P4/mmm
D(E_F): 2.88 states/eV per cell
Crystal system: tetragonal



Record 2
A PBEsol-optimized structure of Mg2In. Source: the Alexandria database, functional SCAN.

```
Mg2In
1.0
-1.635 2.213 4.633
1.635 -2.213 4.633
1.635 2.213 -4.633
Mg In
2 1
Cartesian
0.000 0.000 1.528
0.000 0.000 7.737
0.000 0.000 4.633
```

Properties
DFT formation energy: -3.483 kcal/mol of atoms
Space group: Immm
D(E_F): 0.93 states/eV per cell
Crystal system: orthorhombic



Record 3
A PBEsol-optimized structure of MnMoRh2. Source: the Alexandria database, functional SCAN.

```
MnMoRh2
1.0
2.711 0.000 0.000
0.000 3.725 0.000
0.000 0.000 5.361
Mn Mo Rh
1 1 2
Cartesian
0.000 0.000 0.000
0.000 0.000 2.681
1.356 1.862 1.309
1.356 1.862 4.052
```

Properties
DFT formation energy: -6.443 kcal/mol of atoms
Space group: Pmmm
D(E_F): 2.93 states/eV per cell
Crystal system: orthorhombic
ΔE to the lowest computed polymorph: 0 meV/atom



Record 4
A PBEsol-optimized structure of TiNi2Sn. Source: the Alexandria database, functional SCAN.

```
TiNi2Sn
1.0
3.139 0.000 0.000
0.000 3.139 0.000
0.000 0.000 5.795
Ti Ni Sn
1 2 1
Cartesian
0.000 0.000 0.000
1.569 1.569 1.250
1.569 1.569 4.545
0.000 0.000 2.897
```

Properties
DFT formation energy: -7.345 kcal/mol of atoms
Space group: P4/mmm
D(E_F): 1.25 states/eV per cell
Crystal system: tetragonal



Record 5
A PBEsol-optimized structure of InHg3. Source: the Alexandria database, functional SCAN.

```
InHg3
1.0
0.000 3.627 3.627
3.627 0.000 3.627
3.627 3.627 0.000
In Hg
1 3
Cartesian
0.000 0.000 0.000
1.813 1.813 1.813
3.627 3.627 3.627
5.440 5.440 5.440
```

Properties
DFT formation energy: 0.524 kcal/mol of atoms
Space group: Fm-3m
D(E_F): 1.07 states/eV per cell
Crystal system: cubic



Record 6
A PBEsol-optimized structure of ReBSCl2. Source: the Alexandria database, functional SCAN.

```
ReBSCl2
1.0
4.045 0.000 0.000
0.000 4.045 0.000
0.000 0.000 4.142
Re B S Cl
1 1 1 2
Cartesian
0.000 0.000 0.000
2.022 2.022 2.071
2.022 2.022 0.000
0.000 2.022 2.071
2.022 0.000 2.071
```

Properties
Space group: P4/mmm
D(E_F): 3.38 states/eV per cell
Electronic total energy: -19.31 eV per atom
Crystal system: tetragonal



Record 7
A PBEsol-optimized structure of SrNiP2. Source: the Alexandria database, functional SCAN.

```
SrNiP2
1.0
4.381 0.000 0.000
0.000 3.711 0.000
-0.693 0.000 4.696
Sr Ni P
1 1 2
Cartesian
0.000 0.000 0.000
1.844 0.000 2.348
0.709 1.856 2.816
2.979 1.856 1.880
```

Properties
DFT formation energy: -18.188 kcal/mol of atoms
Space group: P2/m
D(E_F): 0.72 states/eV per cell
Crystal system: monoclinic



Record 8
A PBEsol-optimized structure of LuHfRh2. Source: the Alexandria database, functional SCAN.

```
LuHfRh2
1.0
0.000 3.257 3.257
3.257 0.000 3.257
3.257 3.257 0.000
Lu Hf Rh
1 1 2
Cartesian
0.000 0.000 0.000
3.257 3.257 3.257
1.629 1.629 1.629
4.886 4.886 4.886
```

Properties
DFT formation energy: -24.622 kcal/mol of atoms
Space group: Fm-3m
D(E_F): 2.86 states/eV per cell
Crystal system: cubic